FeAg2Pd: optimized geometry, GGA-PBEsol.

```
4
Lattice="-1.692 -0.723 3.986 2.591 -1.366 3.270 0.962 2.710 3.317" Properties=species:S:1:pos:R:3 pbc="T T T"
Pd 0.930 0.310 5.286
Ag 0.465 0.155 2.643
Ag 1.396 0.466 7.929
Fe 0.000 0.000 0.000
```

Properties
- SG = Fm-3m
- energy of formation from the pure elements (eV per atom) = 0.263